TmThSc2: relaxed, GGA-PBE.

abc: 11.171 11.171 11.171
angles: 17.62 17.62 17.62
Positions (direct):
Tm (0.000, 0.000, 0.000)
Th (0.834, 0.834, 0.834)
Sc (0.416, 0.416, 0.416)
Sc (0.585, 0.585, 0.585)

Output
The calculation puts the total magnetization at 0.000 μB/cell. Its energy above the lowest structure with this stoichiometry is 0.058 eV/atom. The density of states at the Fermi level is 6.59 states/eV per cell. As for the final energy: -6.073 eV per atom. The formation energy is 0.066 eV/atom.